## LaSm5Pb5 (PBE)

Data for a relaxed structure of LaSm5Pb5.

Computed properties:
DOS at the Fermi energy = 11.09 states/eV/cell
final energy = -4.59 eV/atom

abc: 6.4064 7.9482 8.8120
angles: 105.78 90.00 113.77
Last column: nearest neighbours and their distance in Å.
Element x y z (fractional)
Pb  0.1672  0.3344  0.3407  5 Sm 3.15-3.20, 1 La 3.25
Pb  0.5000  0.0000  0.0000  4 Sm 3.19-3.21, 2 La 3.20
Pb  0.8328  0.6656  0.6593  5 Sm 3.15-3.20, 1 La 3.25
Pb  0.8327  0.6654  0.1762  5 Sm 3.15-3.23, 1 La 3.25
Pb  0.1673  0.3346  0.8238  5 Sm 3.15-3.23, 1 La 3.25
Sm  0.6627  0.3255  0.3356  5 Pb 3.17-3.20
Sm  0.3373  0.6745  0.6644  5 Pb 3.17-3.20
Sm  0.3305  0.6611  0.1642  5 Pb 3.20-3.23
Sm  0.0000  0.0000  0.5000  4 Pb 3.15
Sm  0.6695  0.3389  0.8358  5 Pb 3.20-3.23
La  0.0000  0.0000  0.0000  6 Pb 3.20-3.25


## La6Sm8Pb (PBE)

Data for a relaxed structure of La6Sm8Pb.

Computed properties:
DOS at the Fermi energy = 20.12 states/eV/cell
final energy = -4.70 eV/atom

abc: 6.7392 9.5232 9.5232
angles: 120.00 90.00 90.00
Last column: nearest neighbours and their distance in Å.
Element x y z (fractional)
Pb  0.5000  0.0000  0.0000  6 Sm 3.20
La  0.3293  0.3549  0.9128  1 La 3.33, 4 Sm 3.41-3.69
La  0.6707  0.9128  0.5579  1 La 3.33, 4 Sm 3.41-3.69
La  0.3293  0.0872  0.4421  1 La 3.33, 4 Sm 3.41-3.69
La  0.6707  0.4421  0.3549  1 La 3.33, 4 Sm 3.41-3.69
La  0.6707  0.6451  0.0872  1 La 3.33, 4 Sm 3.41-3.69
La  0.3293  0.5579  0.6451  1 La 3.33, 4 Sm 3.41-3.69
Sm  0.1301  0.6667  0.3333  3 Sm 3.45, 6 La 3.83-3.84
Sm  0.8219  0.2258  0.9615  1 Pb 3.20, 3 Sm 3.36-3.45, 1 La 3.41
Sm  0.8219  0.7357  0.7742  1 Pb 3.20, 3 Sm 3.36-3.45, 1 La 3.41
Sm  0.8219  0.0385  0.2643  1 Pb 3.20, 3 Sm 3.36-3.45, 1 La 3.41
Sm  0.1781  0.7742  0.0385  1 Pb 3.20, 3 Sm 3.36-3.45, 1 La 3.41
Sm  0.1781  0.2643  0.2258  1 Pb 3.20, 3 Sm 3.36-3.45, 1 La 3.41
Sm  0.1781  0.9615  0.7357  1 Pb 3.20, 3 Sm 3.36-3.45, 1 La 3.41
Sm  0.8699  0.3333  0.6667  3 Sm 3.45, 6 La 3.83-3.84


## La5SmPb4 (PBE)

Data for a relaxed structure of La5SmPb4.

Computed properties:
DOS at the Fermi energy = 7.44 states/eV/cell
final energy = -4.85 eV/atom

abc: 5.6425 7.4314 11.6308
angles: 129.09 104.04 90.00
Last column: nearest neighbours and their distance in Å.
Element x y z (fractional)
La  0.8330  0.6758  0.6659  5 Pb 3.29-3.49, 1 La 3.61
La  0.5000  0.5000  0.0000  6 Pb 3.41-3.53, 2 Sm 3.72
La  0.1658  0.8356  0.3316  5 Pb 3.33-3.51, 1 La 3.61
La  0.1670  0.3242  0.3341  5 Pb 3.29-3.49, 1 La 3.61
La  0.8342  0.1644  0.6684  5 Pb 3.33-3.51, 1 La 3.61
Pb  0.9919  0.7404  0.9837  6 La 3.29-3.51, 2 Sm 3.35, 1 Pb 3.63
Pb  0.3266  0.9022  0.6532  7 La 3.33-3.53, 1 Sm 3.48
Pb  0.0081  0.2596  0.0163  6 La 3.29-3.51, 2 Sm 3.35, 1 Pb 3.63
Pb  0.6734  0.0978  0.3468  7 La 3.33-3.53, 1 Sm 3.48
Sm  0.5000  0.0000  0.0000  6 Pb 3.35-3.48, 2 La 3.72


## LaSmPb (PBE)

Data for a relaxed structure of LaSmPb.

Computed properties:
DOS at the Fermi energy = 20.52 states/eV/cell
final energy = -4.80 eV/atom
energy above the most stable polymorph in this dataset = 119.0 meV/atom

abc: 8.5172 8.5172 8.5172
angles: 93.55 93.55 93.55
Last column: nearest neighbours and their distance in Å.
Element x y z (fractional)
Pb  0.6617  0.2714  0.8628  4 Sm 3.23-3.34, 4 La 3.30-3.54
Pb  0.3383  0.7286  0.1372  4 Sm 3.23-3.34, 4 La 3.30-3.54
Pb  0.8628  0.6617  0.2714  4 Sm 3.23-3.34, 4 La 3.30-3.54
Pb  0.1372  0.3383  0.7286  4 Sm 3.23-3.34, 4 La 3.30-3.54
Pb  0.2714  0.8628  0.6617  4 Sm 3.23-3.34, 4 La 3.30-3.54
Pb  0.7286  0.1372  0.3383  4 Sm 3.23-3.34, 4 La 3.30-3.54
Sm  0.4530  0.5691  0.7990  4 Pb 3.23-3.34
Sm  0.7990  0.4530  0.5691  4 Pb 3.23-3.34
Sm  0.4309  0.2010  0.5470  4 Pb 3.23-3.34
Sm  0.5470  0.4309  0.2010  4 Pb 3.23-3.34
Sm  0.2010  0.5470  0.4309  4 Pb 3.23-3.34
Sm  0.5691  0.7990  0.4530  4 Pb 3.23-3.34
La  0.9097  0.0083  0.6770  4 Pb 3.30-3.54, 3 La 3.47-3.66, 1 Sm 3.67
La  0.0903  0.9917  0.3230  4 Pb 3.30-3.54, 3 La 3.47-3.66, 1 Sm 3.67
La  0.6770  0.9097  0.0083  4 Pb 3.30-3.54, 3 La 3.47-3.66, 1 Sm 3.67
La  0.0083  0.6770  0.9097  4 Pb 3.30-3.54, 3 La 3.47-3.66, 1 Sm 3.67
La  0.3230  0.0903  0.9917  4 Pb 3.30-3.54, 3 La 3.47-3.66, 1 Sm 3.67
La  0.9917  0.3230  0.0903  4 Pb 3.30-3.54, 3 La 3.47-3.66, 1 Sm 3.67


## LaSm3Pb4 (PBE)

Data for a relaxed structure of LaSm3Pb4.

Computed properties:
DOS at the Fermi energy = 8.15 states/eV/cell
final energy = -4.75 eV/atom

abc: 5.1364 5.1366 9.7819
angles: 105.08 105.22 90.00
Last column: nearest neighbours and their distance in Å.
Element x y z (fractional)
La  0.5000  0.0000  0.0000  8 Pb 3.45, 4 Sm 3.63
Sm  0.7510  0.2510  0.5021  8 Pb 3.39-3.43, 4 Sm 3.63
Sm  0.0000  0.5000  0.0000  8 Pb 3.45, 4 La 3.63
Sm  0.2490  0.7490  0.4979  8 Pb 3.39-3.43, 4 Sm 3.63
Pb  0.6267  0.6265  0.2533  6 Sm 3.40-3.45, 2 La 3.45, 4 Pb 3.63
Pb  0.3733  0.3735  0.7467  6 Sm 3.40-3.45, 2 La 3.45, 4 Pb 3.63
Pb  0.8733  0.8736  0.7467  6 Sm 3.39-3.45, 2 La 3.45, 4 Pb 3.63
Pb  0.1267  0.1264  0.2533  6 Sm 3.39-3.45, 2 La 3.45, 4 Pb 3.63


## LaSmPb2 (PBE)

Data for a relaxed structure of LaSmPb2.

Computed properties:
DOS at the Fermi energy = 3.55 states/eV/cell
final energy = -4.83 eV/atom

abc: 4.7198 4.5508 6.4684
angles: 90.00 111.35 90.00
Last column: nearest neighbours and their distance in Å.
Element x y z (fractional)
La  0.4501  0.5000  0.4379  7 Pb 3.25-3.64
Pb  0.9886  0.0000  0.5150  2 Pb 3.24, 3 Sm 3.30-3.61, 4 La 3.31
Pb  0.1788  0.5000  0.8977  2 Pb 3.24, 1 La 3.25, 4 Sm 3.30
Sm  0.7135  0.0000  0.9674  7 Pb 3.30-3.61


## LaSm2Pb (PBE)

Data for a relaxed structure of LaSm2Pb.

Computed properties:
DOS at the Fermi energy = 3.50 states/eV/cell
final energy = -4.48 eV/atom
energy above the most stable polymorph in this dataset = 379.4 meV/atom

abc: 3.6189 3.6189 12.5175
angles: 81.69 81.69 60.00
Last column: nearest neighbours and their distance in Å.
Element x y z (fractional)
Pb  0.0000  0.0000  0.0000  2 Sm 3.22
La  0.5000  0.5000  0.5000  6 Sm 3.61, 6 La 3.62
Sm  0.0870  0.0870  0.7389  1 Pb 3.22
Sm  0.9130  0.9130  0.2611  1 Pb 3.22


## La2SmPb9 (PBE)

Data for a relaxed structure of La2SmPb9.

Computed properties:
DOS at the Fermi energy = 6.02 states/eV/cell
final energy = -4.41 eV/atom

abc: 4.9486 4.9486 14.8065
angles: 90.00 90.00 90.00
Last column: nearest neighbours and their distance in Å.
Element x y z (fractional)
Pb  0.0000  0.5000  0.5000  8 Pb 3.50-3.51, 4 La 3.50
Pb  0.5000  0.5000  0.6681  4 La 3.50, 8 Pb 3.51
Pb  0.5000  0.0000  0.8362  2 Sm 3.46, 8 Pb 3.46-3.51, 2 La 3.52
Pb  0.0000  0.5000  0.1638  2 Sm 3.46, 8 Pb 3.46-3.51, 2 La 3.52
Pb  0.5000  0.0000  0.5000  8 Pb 3.50-3.51, 4 La 3.50
Pb  0.0000  0.5000  0.8362  2 Sm 3.46, 8 Pb 3.46-3.51, 2 La 3.52
Pb  0.5000  0.5000  0.3319  4 La 3.50, 8 Pb 3.51
Pb  0.5000  0.0000  0.1638  8 Pb 3.46-3.51, 2 Sm 3.46, 2 La 3.52
Pb  0.5000  0.5000  0.0000  8 Pb 3.46, 4 Sm 3.50
Sm  0.0000  0.0000  0.0000  12 Pb 3.46-3.50
La  0.0000  0.0000  0.3327  12 Pb 3.50-3.52
La  0.0000  0.0000  0.6673  12 Pb 3.50-3.52